# Fe2ReNi

A relaxed structure of Fe2ReNi (GGA-PBE, the Alexandria database).

```
Fe2ReNi
1.0
3.009 0.000 0.000
0.000 3.009 0.000
0.000 0.000 5.341
Fe Re Ni
2 1 1
Direct
0.000 0.000 0.226
0.000 0.000 0.774
0.500 0.500 0.500
0.500 0.500 0.000
```

Volume   48.4 Å³/cell
D(E_F)   1.261 states/eV per atom
Density   12.242 Mg/m³
Total DFT energy (no corrections)   -8.671 eV per atom